1.
Density functional theory data (PBE) for a geometry-optimized Sm6Ni2I3Br structure.

Results
- formation energy without anion corrections (eV per atom) = -0.803
- raw total energy (eV for the cell shown) = -111.68

CIF file:
```
data_Sm6Ni2I3Br
_chemical_formula_sum 'Sm12 Ni4 I6 Br2'
_symmetry_space_group_name_H-M 'C 1 2/m 1'
_symmetry_Int_Tables_number 12
_symmetry_space_group_name_Hall '-C 2y'
_cell_length_a 7.340
_cell_length_b 12.699
_cell_length_c 8.116
_cell_angle_alpha 90.00
_cell_angle_beta 107.54
_cell_angle_gamma 90.00
loop_
_atom_site_label
_atom_site_type_symbol
_atom_site_fract_x
_atom_site_fract_y
_atom_site_fract_z
Sm1 Sm 0.192 0.000 0.185
Sm2 Sm 0.249 0.315 0.187
Ni1 Ni 0.000 0.167 0.000
I1 I 0.000 0.000 0.500
I2 I 0.000 0.341 0.500
Br1 Br 0.000 0.500 0.000
```

2.
Density functional theory data (PBE) for a geometry-optimized TaNiIBr2 structure.

Results
- formation energy without anion corrections (eV per atom) = 1.597
- raw total energy (eV for the cell shown) = -14.54

CIF file:
```
data_TaNiIBr2
_chemical_formula_sum 'Ta1 Ni1 I1 Br2'
_symmetry_space_group_name_H-M 'P 4/m m m'
_symmetry_Int_Tables_number 123
_symmetry_space_group_name_Hall '-P 4 2'
_cell_length_a 6.089
_cell_length_b 6.089
_cell_length_c 4.539
_cell_angle_alpha 90.00
_cell_angle_beta 90.00
_cell_angle_gamma 90.00
loop_
_atom_site_label
_atom_site_type_symbol
_atom_site_fract_x
_atom_site_fract_y
_atom_site_fract_z
Ta1 Ta 0.000 0.000 0.000
Ni1 Ni 0.500 0.500 0.000
I1 I 0.500 0.500 0.500
Br1 Br 0.000 0.500 0.500
```

3.
Density functional theory data (PBE) for a geometry-optimized NiTe2IBr structure.

Results
- energy relative to the lowest polymorph listed for this composition (meV/atom) = 977
- formation energy without anion corrections (eV per atom) = 1.250
- raw total energy (eV for the cell shown) = -9.04

CIF file:
```
data_NiTe2IBr
_chemical_formula_sum 'Ni1 Te2 I1 Br1'
_symmetry_space_group_name_H-M 'P 4/m m m'
_symmetry_Int_Tables_number 123
_symmetry_space_group_name_Hall '-P 4 2'
_cell_length_a 5.633
_cell_length_b 5.633
_cell_length_c 5.756
_cell_angle_alpha 90.00
_cell_angle_beta 90.00
_cell_angle_gamma 90.00
loop_
_atom_site_label
_atom_site_type_symbol
_atom_site_fract_x
_atom_site_fract_y
_atom_site_fract_z
Ni1 Ni 0.000 0.000 0.000
Te1 Te 0.000 0.500 0.500
I1 I 0.500 0.500 0.000
Br1 Br 0.500 0.500 0.500
```

4.
Density functional theory data (PBE) for a geometry-optimized NiTeI2Br structure.

Results
- energy relative to the lowest polymorph listed for this composition (meV/atom) = 854
- formation energy without anion corrections (eV per atom) = 1.108
- raw total energy (eV for the cell shown) = -8.16

CIF file:
```
data_NiTeI2Br
_chemical_formula_sum 'Ni1 Te1 I2 Br1'
_symmetry_space_group_name_H-M 'P 4/m m m'
_symmetry_Int_Tables_number 123
_symmetry_space_group_name_Hall '-P 4 2'
_cell_length_a 5.832
_cell_length_b 5.832
_cell_length_c 5.668
_cell_angle_alpha 90.00
_cell_angle_beta 90.00
_cell_angle_gamma 90.00
loop_
_atom_site_label
_atom_site_type_symbol
_atom_site_fract_x
_atom_site_fract_y
_atom_site_fract_z
Ni1 Ni 0.000 0.000 0.000
Te1 Te 0.500 0.500 0.000
I1 I 0.000 0.500 0.500
Br1 Br 0.500 0.500 0.500
```

5.
Density functional theory data (PBE) for a geometry-optimized NiTe2IBr structure.

Results
- energy relative to the lowest polymorph listed for this composition (meV/atom) = 0
- formation energy without anion corrections (eV per atom) = 0.273
- raw total energy (eV for the cell shown) = -13.92

CIF file:
```
data_NiTe2IBr
_chemical_formula_sum 'Ni1 Te2 I1 Br1'
_symmetry_space_group_name_H-M 'P 4/m m m'
_symmetry_Int_Tables_number 123
_symmetry_space_group_name_Hall '-P 4 2'
_cell_length_a 5.133
_cell_length_b 5.133
_cell_length_c 5.224
_cell_angle_alpha 90.00
_cell_angle_beta 90.00
_cell_angle_gamma 90.00
loop_
_atom_site_label
_atom_site_type_symbol
_atom_site_fract_x
_atom_site_fract_y
_atom_site_fract_z
Ni1 Ni 0.000 0.000 0.000
Te1 Te 0.000 0.500 0.000
I1 I 0.000 0.000 0.500
Br1 Br 0.500 0.500 0.500
```

6.
Density functional theory data (PBE) for a geometry-optimized NiTeI2Br structure.

Results
- energy relative to the lowest polymorph listed for this composition (meV/atom) = 0
- formation energy without anion corrections (eV per atom) = 0.254
- raw total energy (eV for the cell shown) = -12.43

CIF file:
```
data_NiTeI2Br
_chemical_formula_sum 'Ni1 Te1 I2 Br1'
_symmetry_space_group_name_H-M 'P 4/m m m'
_symmetry_Int_Tables_number 123
_symmetry_space_group_name_Hall '-P 4 2'
_cell_length_a 5.266
_cell_length_b 5.266
_cell_length_c 5.129
_cell_angle_alpha 90.00
_cell_angle_beta 90.00
_cell_angle_gamma 90.00
loop_
_atom_site_label
_atom_site_type_symbol
_atom_site_fract_x
_atom_site_fract_y
_atom_site_fract_z
Ni1 Ni 0.000 0.000 0.000
Te1 Te 0.000 0.000 0.500
I1 I 0.000 0.500 0.000
Br1 Br 0.500 0.500 0.500
```

7.
Density functional theory data (PBE) for a geometry-optimized Ti2NiIBr structure.

Results
- formation energy without anion corrections (eV per atom) = 0.414
- raw total energy (eV for the cell shown) = -22.73

CIF file:
```
data_Ti2NiIBr
_chemical_formula_sum 'Ti2 Ni1 I1 Br1'
_symmetry_space_group_name_H-M 'P 4/m m m'
_symmetry_Int_Tables_number 123
_symmetry_space_group_name_Hall '-P 4 2'
_cell_length_a 4.889
_cell_length_b 4.889
_cell_length_c 4.697
_cell_angle_alpha 90.00
_cell_angle_beta 90.00
_cell_angle_gamma 90.00
loop_
_atom_site_label
_atom_site_type_symbol
_atom_site_fract_x
_atom_site_fract_y
_atom_site_fract_z
Ti1 Ti 0.000 0.500 0.000
Ni1 Ni 0.000 0.000 0.000
I1 I 0.500 0.500 0.500
Br1 Br 0.000 0.000 0.500
```

8.
Density functional theory data (PBE) for a geometry-optimized TlNiIBr2 structure.

Results
- formation energy without anion corrections (eV per atom) = -0.363
- raw total energy (eV for the cell shown) = -14.86

CIF file:
```
data_TlNiIBr2
_chemical_formula_sum 'Tl1 Ni1 I1 Br2'
_symmetry_space_group_name_H-M 'P 4/m m m'
_symmetry_Int_Tables_number 123
_symmetry_space_group_name_Hall '-P 4 2'
_cell_length_a 5.081
_cell_length_b 5.081
_cell_length_c 5.424
_cell_angle_alpha 90.00
_cell_angle_beta 90.00
_cell_angle_gamma 90.00
loop_
_atom_site_label
_atom_site_type_symbol
_atom_site_fract_x
_atom_site_fract_y
_atom_site_fract_z
Tl1 Tl 0.000 0.000 0.000
Ni1 Ni 0.500 0.500 0.500
I1 I 0.500 0.500 0.000
Br1 Br 0.000 0.500 0.500
```